--- 1 ---
# BaSrOs2

A relaxed BaSrOs2 crystal (PBE, Alexandria).

It has space group Imm2 (No. 44), with a = 4.1501 Å, b = 5.1486 Å, c = 11.3191 Å, α = 90.00°, β = 90.00° and γ = 90.00°. The inequivalent atoms are Ba at (0.0000, 0.0000, 0.0000), Sr at (0.0000, 0.5000, 0.2259), Os at (0.0000, 0.0000, 0.3930) and Os at (0.0000, 0.5000, 0.7944).


--- 2 ---
# BaSrOs2

A relaxed BaSrOs2 crystal (PBE, Alexandria).

It has space group Cm (No. 8), with a = 7.2632 Å, b = 4.1940 Å, c = 9.3091 Å, α = 90.00°, β = 105.35° and γ = 90.00°. The inequivalent atoms are Ba at (0.0000, 0.0000, 0.0000), Sr at (0.1807, 0.0000, 0.5353), Os at (0.2664, 0.5000, 0.2953) and Os at (0.4208, 0.0000, 0.2593).


Quick look at relative energies in kJ/mol of atoms: 1 28.7; 2 0.0.


--- 1 ---
# LaBe2Zn

A relaxed LaBe2Zn crystal (PBE, Alexandria).

It has space group I4_1/amd (No. 141, origin choice 2), with a = 4.4685 Å, b = 4.4685 Å, c = 15.6596 Å, α = 90.00°, β = 90.00° and γ = 90.00°. The inequivalent atoms are La at (0.0000, 0.2500, 0.3750), Be at (0.0000, 0.0000, 0.0000) and Zn at (0.0000, 0.2500, 0.8750).


--- 2 ---
# LaBe2Zn

A relaxed LaBe2Zn crystal (PBE, Alexandria).

It has space group Pmmm (No. 47), with a = 4.0612 Å, b = 4.2138 Å, c = 4.6057 Å, α = 90.00°, β = 90.00° and γ = 90.00°. The inequivalent atoms are La at (0.0000, 0.0000, 0.0000), Be at (0.5000, 0.2517, 0.5000) and Zn at (0.0000, 0.5000, 0.5000).


Quick look at relative energies in kJ/mol of atoms: 1 0.0; 2 4.1.